# 1
DFT (PBE) results for crystalline BaAu2Br at its relaxed geometry.

* spin magnetization: 0.00 Bohr magnetons per cell
* E above lowest polymorph: 1.117 eV per formula unit
* D(E_F): 0.2267 states/eV/atom
* E_form (uncorrected): -0.63 eV per atom

Structure (CIF):
```
data_BaAu2Br
_chemical_formula_sum 'Ba4 Au8 Br4'
_symmetry_space_group_name_H-M 'I -4 2 d'
_symmetry_Int_Tables_number 122
_symmetry_space_group_name_Hall 'I -4 2bw'
_cell_length_a 9.433
_cell_length_b 9.433
_cell_length_c 5.890
_cell_angle_alpha 90.00
_cell_angle_beta 90.00
_cell_angle_gamma 90.00
loop_
_atom_site_label
_atom_site_type_symbol
_atom_site_fract_x
_atom_site_fract_y
_atom_site_fract_z
Ba1 Ba 0.000 0.000 0.000
Au1 Au 0.244 0.250 0.625
Br1 Br 0.000 0.000 0.500
```

# 2
DFT (PBE) results for crystalline Ba8Au2Br at its relaxed geometry.

* spin magnetization: 1.83 Bohr magnetons per cell
* D(E_F): 1.1590 states/eV/atom
* E_form (uncorrected): -0.40 eV per atom

Structure (CIF):
```
data_Ba8Au2Br
_chemical_formula_sum 'Ba8 Au2 Br1'
_symmetry_space_group_name_H-M 'P -1'
_symmetry_Int_Tables_number 2
_symmetry_space_group_name_Hall '-P 1'
_cell_length_a 6.859
_cell_length_b 10.340
_cell_length_c 10.344
_cell_angle_alpha 119.97
_cell_angle_beta 90.00
_cell_angle_gamma 90.00
loop_
_atom_site_label
_atom_site_type_symbol
_atom_site_fract_x
_atom_site_fract_y
_atom_site_fract_z
Ba1 Ba 0.240 0.167 0.333
Ba2 Ba 0.259 0.184 0.841
Ba3 Ba 0.259 0.656 0.315
Ba4 Ba 0.259 0.659 0.844
Au1 Au 0.265 0.833 0.667
Br1 Br 0.000 0.500 0.000
```

# 3
DFT (PBE) results for crystalline Ba2AuBr at its relaxed geometry.

* spin magnetization: 0.00 Bohr magnetons per cell
* E above lowest polymorph: 0.853 eV per formula unit
* D(E_F): 1.7120 states/eV/atom
* E_form (uncorrected): -0.98 eV per atom

Structure (CIF):
```
data_Ba2AuBr
_chemical_formula_sum 'Ba8 Au4 Br4'
_symmetry_space_group_name_H-M 'F m -3 m'
_symmetry_Int_Tables_number 225
_symmetry_space_group_name_Hall '-F 4 2 3'
_cell_length_a 8.257
_cell_length_b 8.257
_cell_length_c 8.257
_cell_angle_alpha 90.00
_cell_angle_beta 90.00
_cell_angle_gamma 90.00
loop_
_atom_site_label
_atom_site_type_symbol
_atom_site_fract_x
_atom_site_fract_y
_atom_site_fract_z
Ba1 Ba 0.250 0.250 0.250
Au1 Au 0.000 0.000 0.000
Br1 Br 0.000 0.000 0.500
```

# 4
DFT (PBE) results for crystalline BaAuBr2 at its relaxed geometry.

* spin magnetization: 2.58 Bohr magnetons per cell
* E above lowest polymorph: 0.342 eV per formula unit
* D(E_F): 1.3686 states/eV/atom
* E_form (uncorrected): -1.09 eV per atom

Structure (CIF):
```
data_BaAuBr2
_chemical_formula_sum 'Ba4 Au4 Br8'
_symmetry_space_group_name_H-M 'F m -3 m'
_symmetry_Int_Tables_number 225
_symmetry_space_group_name_Hall '-F 4 2 3'
_cell_length_a 7.871
_cell_length_b 7.871
_cell_length_c 7.871
_cell_angle_alpha 90.00
_cell_angle_beta 90.00
_cell_angle_gamma 90.00
loop_
_atom_site_label
_atom_site_type_symbol
_atom_site_fract_x
_atom_site_fract_y
_atom_site_fract_z
Ba1 Ba 0.000 0.000 0.000
Au1 Au 0.000 0.000 0.500
Br1 Br 0.250 0.250 0.250
```